Record 1
# PBE KTmCdPb, optimized geometry
data_KTmCdPb
_symmetry_space_group_name_H-M 'F -4 3 m'
_symmetry_Int_Tables_number 216
_symmetry_space_group_name_Hall 'F -4 2 3'
_cell_length_a 7.836
_cell_length_b 7.836
_cell_length_c 7.836
_cell_angle_alpha 90.00
_cell_angle_beta 90.00
_cell_angle_gamma 90.00
loop_
_atom_site_label
_atom_site_fract_x
_atom_site_fract_y
_atom_site_fract_z
K1 0.000 0.000 0.000
Tm1 0.000 0.000 0.500
Cd1 0.250 0.250 0.750
Pb1 0.250 0.250 0.250
# Volume in Å³/atom: 30.07
# Calculated total energy in eV per atom: -2.653

Record 2
# PBE Cd2PW, optimized geometry
data_Cd2PW
_symmetry_space_group_name_H-M 'R -3 m'
_symmetry_Int_Tables_number 166
_symmetry_space_group_name_Hall '-R 3 2"'
_cell_length_a 2.9968
_cell_length_b 2.9968
_cell_length_c 28.3245
_cell_angle_alpha 90.00
_cell_angle_beta 90.00
_cell_angle_gamma 120.00
loop_
_atom_site_label
_atom_site_fract_x
_atom_site_fract_y
_atom_site_fract_z
Cd1 0.0000 0.0000 0.2491
P1 0.0000 0.0000 0.5000
W1 0.0000 0.0000 0.0000
# Volume in Å³/atom: 18.36
# Calculated total energy in eV per atom: -4.400

Record 3
# PBE LaCuSn, optimized geometry
data_LaCuSn
_symmetry_space_group_name_H-M 'P 4/n m m'
_symmetry_Int_Tables_number 129
_cell_length_a 4.657
_cell_length_b 4.657
_cell_length_c 6.995
_cell_angle_alpha 90.00
_cell_angle_beta 90.00
_cell_angle_gamma 90.00
loop_
_symmetry_equiv_pos_as_xyz
'x,y,z'
'-x,-y,-z'
'-y+1/2,x,z'
'y+1/2,-x,-z'
'-x+1/2,-y+1/2,z'
'x+1/2,y+1/2,-z'
'y,-x+1/2,z'
'-y,x+1/2,-z'
'x+1/2,-y,-z'
'-x+1/2,y,z'
'-y,-x,-z'
'y,x,z'
'-x,y+1/2,-z'
'x,-y+1/2,z'
'y+1/2,x+1/2,-z'
'-y+1/2,-x+1/2,z'
loop_
_atom_site_label
_atom_site_fract_x
_atom_site_fract_y
_atom_site_fract_z
La1 0.250 0.250 0.210
Cu1 0.250 0.750 0.500
Sn1 0.250 0.250 0.718
# Volume in Å³/atom: 25.28
# Calculated total energy in eV per atom: -4.946

Record 4
# PBE CaNdEr2, optimized geometry
data_CaNdEr2
_symmetry_space_group_name_H-M 'R 3 m'
_symmetry_Int_Tables_number 160
_symmetry_space_group_name_Hall 'R 3 -2"'
_cell_length_a 3.6112
_cell_length_b 3.6112
_cell_length_c 36.0009
_cell_angle_alpha 90.00
_cell_angle_beta 90.00
_cell_angle_gamma 120.00
loop_
_atom_site_label
_atom_site_fract_x
_atom_site_fract_y
_atom_site_fract_z
Ca1 0.0000 0.0000 0.0000
Nd1 0.0000 0.0000 0.8344
Er1 0.0000 0.0000 0.2468
Er2 0.0000 0.0000 0.4209
# Volume in Å³/atom: 33.88
# Calculated total energy in eV per atom: -3.904

Record 5
# PBE Li5CdAg, optimized geometry
data_Li5CdAg
_symmetry_space_group_name_H-M 'P 4/m m m'
_symmetry_Int_Tables_number 123
_symmetry_space_group_name_Hall '-P 4 2'
_cell_length_a 4.451
_cell_length_b 4.451
_cell_length_c 6.837
_cell_angle_alpha 90.00
_cell_angle_beta 90.00
_cell_angle_gamma 90.00
loop_
_atom_site_label
_atom_site_fract_x
_atom_site_fract_y
_atom_site_fract_z
Li1 0.000 0.000 0.000
Li2 0.000 0.500 0.279
Cd1 0.500 0.500 0.000
Ag1 0.000 0.000 0.500
# Volume in Å³/atom: 19.35
# Calculated total energy in eV per atom: -2.012

Record 6
# PBE LiS2O, optimized geometry
data_LiS2O
_symmetry_space_group_name_H-M 'I 41/a m d'
_symmetry_Int_Tables_number 141
_cell_length_a 5.184
_cell_length_b 5.184
_cell_length_c 11.711
_cell_angle_alpha 90.00
_cell_angle_beta 90.00
_cell_angle_gamma 90.00
loop_
_symmetry_equiv_pos_as_xyz
'x,y,z'
'-x,-y,-z'
'-y+1/4,x+3/4,z+1/4'
'y+1/4,-x+3/4,-z+1/4'
'-x+1/2,-y,z+1/2'
'x+1/2,y,-z+1/2'
'y+1/4,-x+1/4,z+3/4'
'-y+1/4,x+1/4,-z+3/4'
'x,-y,-z'
'-x,y,z'
'-y+1/4,-x+1/4,-z+3/4'
'y+1/4,x+1/4,z+3/4'
'-x+1/2,y,-z+1/2'
'x+1/2,-y,z+1/2'
'y+1/4,x+3/4,-z+1/4'
'-y+1/4,-x+3/4,z+1/4'
'x+1/2,y+1/2,z+1/2'
'-x+1/2,-y+1/2,-z+1/2'
'-y+3/4,x+1/4,z+3/4'
'y+3/4,-x+1/4,-z+3/4'
'-x,-y+1/2,z'
'x,y+1/2,-z'
'y+3/4,-x+3/4,z+1/4'
'-y+3/4,x+3/4,-z+1/4'
'x+1/2,-y+1/2,-z+1/2'
'-x+1/2,y+1/2,z+1/2'
'-y+3/4,-x+3/4,-z+1/4'
'y+3/4,x+3/4,z+1/4'
'-x,y+1/2,-z'
'x,-y+1/2,z'
'y+3/4,x+1/4,-z+3/4'
'-y+3/4,-x+1/4,z+3/4'
loop_
_atom_site_label
_atom_site_fract_x
_atom_site_fract_y
_atom_site_fract_z
Li1 0.000 0.250 0.375
S1 0.000 0.000 0.000
O1 0.000 0.250 0.875
# Volume in Å³/atom: 19.67
# ΔE_f (raw) in eV/atom: -0.04

Repeat the sixth record exactly.
# PBE LiS2O, optimized geometry
data_LiS2O
_symmetry_space_group_name_H-M 'I 41/a m d'
_symmetry_Int_Tables_number 141
_cell_length_a 5.184
_cell_length_b 5.184
_cell_length_c 11.711
_cell_angle_alpha 90.00
_cell_angle_beta 90.00
_cell_angle_gamma 90.00
loop_
_symmetry_equiv_pos_as_xyz
'x,y,z'
'-x,-y,-z'
'-y+1/4,x+3/4,z+1/4'
'y+1/4,-x+3/4,-z+1/4'
'-x+1/2,-y,z+1/2'
'x+1/2,y,-z+1/2'
'y+1/4,-x+1/4,z+3/4'
'-y+1/4,x+1/4,-z+3/4'
'x,-y,-z'
'-x,y,z'
'-y+1/4,-x+1/4,-z+3/4'
'y+1/4,x+1/4,z+3/4'
'-x+1/2,y,-z+1/2'
'x+1/2,-y,z+1/2'
'y+1/4,x+3/4,-z+1/4'
'-y+1/4,-x+3/4,z+1/4'
'x+1/2,y+1/2,z+1/2'
'-x+1/2,-y+1/2,-z+1/2'
'-y+3/4,x+1/4,z+3/4'
'y+3/4,-x+1/4,-z+3/4'
'-x,-y+1/2,z'
'x,y+1/2,-z'
'y+3/4,-x+3/4,z+1/4'
'-y+3/4,x+3/4,-z+1/4'
'x+1/2,-y+1/2,-z+1/2'
'-x+1/2,y+1/2,z+1/2'
'-y+3/4,-x+3/4,-z+1/4'
'y+3/4,x+3/4,z+1/4'
'-x,y+1/2,-z'
'x,-y+1/2,z'
'y+3/4,x+1/4,-z+3/4'
'-y+3/4,-x+1/4,z+3/4'
loop_
_atom_site_label
_atom_site_fract_x
_atom_site_fract_y
_atom_site_fract_z
Li1 0.000 0.250 0.375
S1 0.000 0.000 0.000
O1 0.000 0.250 0.875
# Volume in Å³/atom: 19.67
# ΔE_f (raw) in eV/atom: -0.04